1.
## Cr4Re (PBE)

Data for an optimized crystal structure of Cr4Re.

The structure in POSCAR format:
```
Cr4Re
1.0
3.697 0.000 0.000
0.000 3.697 0.000
0.000 0.000 9.625
Cr Re
8 2
Direct
0.000 0.000 0.111 Cr
0.000 0.000 0.889 Cr
0.000 0.500 0.250 Cr
0.000 0.500 0.750 Cr
0.500 0.000 0.250 Cr
0.500 0.000 0.750 Cr
0.500 0.500 0.389 Cr
0.500 0.500 0.611 Cr
0.000 0.000 0.500 Re
0.500 0.500 0.000 Re
```

Formation enthalpy at 0 K, eV per atom: 0.732
Symmetry: No. 139
Total DFT energy (no corrections), eV for the cell shown: -94.6



2.
## LiNiI (PBE)

Data for an optimized crystal structure of LiNiI.

The structure in POSCAR format:
```
LiNiI
1.0
4.236 0.000 0.000
-2.118 3.669 0.000
0.000 0.000 3.924
Li Ni I
1 1 1
Direct
0.000 0.000 0.000 Li
0.667 0.333 0.500 Ni
0.333 0.667 0.500 I
```

ΔE_f (raw), eV per atom: -0.12
Symmetry: No. 187
Total DFT energy (no corrections), eV for the cell shown: -9.6



3.
## Dy3HoZn (PBE)

Data for an optimized crystal structure of Dy3HoZn.

The structure in POSCAR format:
```
Dy3HoZn
1.0
14.458 -1.809 0.000
14.458 1.809 0.000
-0.010 0.000 5.357
Dy Ho Zn
6 2 2
Direct
0.045 0.045 0.247 Dy
0.124 0.124 0.748 Dy
0.341 0.341 0.751 Dy
0.659 0.659 0.249 Dy
0.876 0.876 0.252 Dy
0.955 0.955 0.753 Dy
0.268 0.268 0.250 Ho
0.732 0.732 0.750 Ho
0.460 0.460 0.256 Zn
0.540 0.540 0.744 Zn
```

Formation enthalpy at 0 K, eV per atom: -0.124
Symmetry: No. 12
Total DFT energy (no corrections), eV for the cell shown: -40.6



4.
## TlCu3C (PBE)

Data for an optimized crystal structure of TlCu3C.

The structure in POSCAR format:
```
TlCu3C
1.0
4.084 0.000 0.000
0.000 4.084 0.000
0.000 0.000 4.084
Tl Cu C
1 3 1
Direct
0.000 0.000 0.000 Tl
0.000 0.500 0.500 Cu
0.500 0.000 0.500 Cu
0.500 0.500 0.000 Cu
0.500 0.500 0.500 C
```

Formation enthalpy at 0 K, eV per atom: 0.501
Symmetry: No. 221
Total DFT energy (no corrections), eV for the cell shown: -21.4



5.
## PmEr12Sc5 (PBE)

Data for an optimized crystal structure of PmEr12Sc5.

The structure in POSCAR format:
```
PmEr12Sc5
1.0
2.999 -5.194 0.000
2.999 5.194 0.000
-1.998 0.000 16.719
Pm Er Sc
1 12 5
Direct
0.000 0.000 0.000 Pm
0.055 0.392 0.167 Er
0.113 0.113 0.338 Er
0.220 0.554 0.662 Er
0.281 0.281 0.833 Er
0.392 0.055 0.167 Er
0.446 0.780 0.338 Er
0.554 0.220 0.662 Er
0.608 0.945 0.833 Er
0.719 0.719 0.167 Er
0.780 0.446 0.338 Er
0.887 0.887 0.662 Er
0.945 0.608 0.833 Er
0.166 0.834 0.500 Sc
0.333 0.667 0.000 Sc
0.500 0.500 0.500 Sc
0.667 0.333 0.000 Sc
0.834 0.166 0.500 Sc
```

Formation enthalpy at 0 K, eV per atom: 0.035
Symmetry: No. 12
Total DFT energy (no corrections), eV for the cell shown: -90.5



6.
## YTlTe2 (PBE)

Data for an optimized crystal structure of YTlTe2.

The structure in POSCAR format:
```
YTlTe2
1.0
4.586 0.000 0.000
0.000 4.586 0.000
0.000 0.000 11.114
Y Tl Te
2 2 4
Direct
0.000 0.000 0.000 Y
0.500 0.500 0.500 Y
0.000 0.500 0.250 Tl
0.500 0.000 0.750 Tl
0.000 0.000 0.500 Te
0.000 0.500 0.750 Te
0.500 0.000 0.250 Te
0.500 0.500 0.000 Te
```

ΔE_f (raw), eV per atom: -0.67
Symmetry: No. 119
Total DFT energy (no corrections), eV for the cell shown: -35.6



7.
## InB2O (PBE)

Data for an optimized crystal structure of InB2O.

The structure in POSCAR format:
```
InB2O
1.0
4.013 0.000 0.000
0.000 4.013 0.000
0.000 0.000 10.835
In B O
4 8 4
Direct
0.000 0.000 0.000 In
0.000 0.500 0.250 In
0.500 0.000 0.750 In
0.500 0.500 0.500 In
0.031 0.250 0.625 B
0.250 0.531 0.875 B
0.250 0.969 0.375 B
0.469 0.250 0.125 B
0.531 0.750 0.125 B
0.750 0.031 0.375 B
0.750 0.469 0.875 B
0.969 0.750 0.625 B
0.000 0.000 0.500 O
0.000 0.500 0.750 O
0.500 0.000 0.250 O
0.500 0.500 0.000 O
```

ΔE_f (raw), eV per atom: 0.53
Symmetry: No. 122
Total DFT energy (no corrections), eV for the cell shown: -75.8



8.
## KZn3Mo (PBE)

Data for an optimized crystal structure of KZn3Mo.

The structure in POSCAR format:
```
KZn3Mo
1.0
5.112 0.000 0.000
0.000 5.112 0.000
0.000 0.000 5.112
K Zn Mo
1 3 1
Direct
0.000 0.000 0.000 K
0.000 0.500 0.500 Zn
0.500 0.000 0.500 Zn
0.500 0.500 0.000 Zn
0.500 0.500 0.500 Mo
```

Formation enthalpy at 0 K, eV per atom: 0.596
Symmetry: No. 221
Total DFT energy (no corrections), eV for the cell shown: -12.8



9.
## U2AlIr9 (PBE)

Data for an optimized crystal structure of U2AlIr9.

The structure in POSCAR format:
```
U2AlIr9
1.0
4.001 0.000 0.000
0.000 4.001 0.000
0.000 0.000 11.902
U Al Ir
2 1 9
Direct
0.000 0.000 0.174 U
0.000 0.000 0.826 U
0.000 0.000 0.500 Al
0.000 0.500 0.000 Ir
0.000 0.500 0.340 Ir
0.000 0.500 0.660 Ir
0.500 0.000 0.000 Ir
0.500 0.000 0.340 Ir
0.500 0.000 0.660 Ir
0.500 0.500 0.170 Ir
0.500 0.500 0.500 Ir
0.500 0.500 0.830 Ir
```

Formation enthalpy at 0 K, eV per atom: -0.559
Symmetry: No. 123
Total DFT energy (no corrections), eV for the cell shown: -112.8



10.
## MgZnCd2 (PBE)

Data for an optimized crystal structure of MgZnCd2.

The structure in POSCAR format:
```
MgZnCd2
1.0
6.010 0.000 0.000
0.000 10.241 0.000
-1.616 0.000 2.704
Mg Zn Cd
2 2 4
Direct
0.000 0.000 0.000 Mg
0.500 0.500 0.000 Mg
0.000 0.500 0.000 Zn
0.500 0.000 0.000 Zn
0.250 0.250 0.000 Cd
0.250 0.750 0.000 Cd
0.750 0.250 0.000 Cd
0.750 0.750 0.000 Cd
```

Formation enthalpy at 0 K, eV per atom: 0.013
Symmetry: No. 12
Total DFT energy (no corrections), eV for the cell shown: -9.3



11.
## ZrTlSi2 (PBE)

Data for an optimized crystal structure of ZrTlSi2.

The structure in POSCAR format:
```
ZrTlSi2
1.0
4.746 0.000 0.000
0.000 3.289 0.000
-2.061 0.000 5.077
Zr Tl Si
1 1 2
Direct
0.000 0.000 0.000 Zr
0.000 0.500 0.500 Tl
0.500 0.000 0.500 Si
0.500 0.500 0.000 Si
```

ΔE_f (raw), eV per atom: 0.19
Symmetry: No. 10
Total DFT energy (no corrections), eV for the cell shown: -21.0



12.
## Bi2BPt6 (PBE)

Data for an optimized crystal structure of Bi2BPt6.

The structure in POSCAR format:
```
Bi2BPt6
1.0
4.984 -2.880 0.000
4.984 2.880 0.000
-1.754 0.000 5.451
Bi B Pt
2 1 6
Direct
0.136 0.136 0.320 Bi
0.864 0.864 0.680 Bi
0.500 0.500 0.500 B
0.123 0.617 0.222 Pt
0.382 0.382 0.777 Pt
0.383 0.877 0.778 Pt
0.617 0.123 0.222 Pt
0.618 0.618 0.223 Pt
0.877 0.383 0.778 Pt
```

Formation enthalpy at 0 K, eV per atom: -0.134
Symmetry: No. 12
Total DFT energy (no corrections), eV for the cell shown: -51.9



13.
## SbTe3F (PBE)

Data for an optimized crystal structure of SbTe3F.

The structure in POSCAR format:
```
SbTe3F
1.0
5.019 0.000 0.000
0.000 5.019 0.000
0.000 0.000 5.019
Sb Te F
1 3 1
Direct
0.000 0.000 0.000 Sb
0.000 0.500 0.500 Te
0.500 0.000 0.500 Te
0.500 0.500 0.000 Te
0.500 0.500 0.500 F
```

ΔE_f (raw), eV per atom: 0.15
Symmetry: No. 221
Total DFT energy (no corrections), eV for the cell shown: -14.7



14.
## Hf6IrPd2 (PBE)

Data for an optimized crystal structure of Hf6IrPd2.

The structure in POSCAR format:
```
Hf6IrPd2
1.0
5.589 0.000 0.000
0.000 7.231 0.000
-5.421 0.000 9.100
Hf Ir Pd
12 2 4
Direct
0.070 0.063 0.241 Hf
0.070 0.437 0.741 Hf
0.205 0.732 0.064 Hf
0.205 0.768 0.564 Hf
0.379 0.150 0.039 Hf
0.379 0.350 0.539 Hf
0.621 0.650 0.461 Hf
0.621 0.850 0.961 Hf
0.795 0.232 0.436 Hf
0.795 0.268 0.936 Hf
0.930 0.563 0.259 Hf
0.930 0.937 0.759 Hf
0.500 0.000 0.500 Ir
0.500 0.500 0.000 Ir
0.334 0.094 0.717 Pd
0.334 0.406 0.217 Pd
0.666 0.594 0.783 Pd
0.666 0.906 0.283 Pd
```

Formation enthalpy at 0 K, eV per atom: -0.397
Symmetry: No. 14
Total DFT energy (no corrections), eV for the cell shown: -165.1



15.
## TbSi2Tc3 (PBE)

Data for an optimized crystal structure of TbSi2Tc3.

The structure in POSCAR format:
```
TbSi2Tc3
1.0
7.368 -2.083 0.000
7.368 2.083 0.000
-3.563 0.000 6.608
Tb Si Tc
2 4 6
Direct
0.144 0.144 0.064 Tb
0.856 0.856 0.936 Tb
0.192 0.192 0.719 Si
0.478 0.478 0.822 Si
0.522 0.522 0.178 Si
0.808 0.808 0.281 Si
0.044 0.044 0.383 Tc
0.298 0.298 0.530 Tc
0.411 0.411 0.337 Tc
0.589 0.589 0.663 Tc
0.702 0.702 0.470 Tc
0.956 0.956 0.617 Tc
```

ΔE_f (raw), eV per atom: -0.51
Symmetry: No. 12
Total DFT energy (no corrections), eV for the cell shown: -99.2